Run i
## Ca2Zn2Cu (PBE-GGA)

Data for a geometry-optimized Ca2Zn2Cu structure.

a b c (Å): 3.7017 3.7017 9.1352
angles (deg): 78.31 78.31 90.00
Closest atoms and distances in Å follow each position.
Fractional positions:
Ca: 0.4011 0.4011 0.1977  4 Cu 3.14, 4 Zn 3.23, 1 Ca 3.46
Ca: 0.5989 0.5989 0.8023  4 Cu 3.14, 4 Zn 3.23, 1 Ca 3.46
Zn: 0.2500 0.7500 0.5000  4 Zn 2.62
Zn: 0.7500 0.2500 0.5000  4 Zn 2.62
Cu: 0.0000 0.0000 0.0000  8 Ca 3.14

Summary:
Symmetry   I4/mmm, No. 139
Fermi-level density of states   3.41 states/eV/cell
Density   3801 kg/m³



Run ii
## Ca2Zn2Cu (PBE-GGA)

Data for a geometry-optimized Ca2Zn2Cu structure.

a b c (Å): 4.4029 5.7596 9.9400
angles (deg): 86.82 77.20 67.53
Closest atoms and distances in Å follow each position.
Fractional positions:
Zn: 0.0937 0.2544 0.5583  3 Cu 2.54-2.70
Zn: 0.6220 0.8744 0.8816  1 Cu 2.55, 1 Zn 2.62
Zn: 0.9063 0.7456 0.4417  3 Cu 2.54-2.70
Zn: 0.3780 0.1256 0.1184  1 Cu 2.55, 1 Zn 2.62
Ca: 0.0827 0.7184 0.1161  6 Zn 3.09-3.29, 2 Cu 3.29
Ca: 0.9173 0.2816 0.8839  6 Zn 3.09-3.29, 2 Cu 3.29
Ca: 0.6745 0.3143 0.3367  4 Cu 3.09-3.30, 7 Zn 3.10-3.32
Ca: 0.3255 0.6857 0.6633  4 Cu 3.09-3.30, 7 Zn 3.10-3.32
Cu: 0.6284 0.0924 0.6509  4 Zn 2.54-2.70
Cu: 0.3716 0.9076 0.3491  4 Zn 2.54-2.70

Summary:
Symmetry   C2/m, No. 12
Fermi-level density of states   5.91 states/eV/cell
Density   4016 kg/m³



Least stable: run i



Run i
## CaZn2Cu9 (PBE-GGA)

Data for a geometry-optimized CaZn2Cu9 structure.

a b c (Å): 2.7288 8.3555 8.3555
angles (deg): 120.00 90.00 90.00
Closest atoms and distances in Å follow each position.
Fractional positions:
Cu: 0.0000 0.5000 0.0000  2 Zn 2.41, 8 Cu 2.67
Cu: 0.5000 0.1837 0.8163  2 Zn 2.56, 8 Cu 2.66-2.73
Cu: 0.5000 0.1837 0.3674  2 Zn 2.56, 8 Cu 2.66-2.73
Cu: 0.5000 0.6326 0.8163  2 Zn 2.56, 8 Cu 2.66-2.73
Cu: 0.0000 0.5000 0.5000  2 Zn 2.41, 8 Cu 2.67
Cu: 0.0000 0.0000 0.5000  2 Zn 2.41, 8 Cu 2.67
Cu: 0.5000 0.8163 0.6326  2 Zn 2.56, 8 Cu 2.66-2.73
Cu: 0.5000 0.8163 0.1837  2 Zn 2.56, 8 Cu 2.66-2.73
Cu: 0.5000 0.3674 0.1837  2 Zn 2.56, 8 Cu 2.66-2.73
Zn: 0.0000 0.6667 0.3333  9 Cu 2.41-2.56
Zn: 0.0000 0.3333 0.6667  9 Cu 2.41-2.56
Ca: 0.0000 0.0000 0.0000  2 Ca 2.73, 12 Cu 2.99

Summary:
Symmetry   P6/mmm, No. 191
Fermi-level density of states   3.65 states/eV/cell
Density   7476 kg/m³



Run ii
## CaZn2Cu9 (PBE-GGA)

Data for a geometry-optimized CaZn2Cu9 structure.

a b c (Å): 6.5845 7.9042 7.9042
angles (deg): 80.01 65.38 65.39
Closest atoms and distances in Å follow each position.
Fractional positions:
Cu: 0.7500 0.5000 0.5000  4 Zn 2.67, 8 Cu 2.77
Cu: 0.4327 0.8307 0.4152  2 Zn 2.48-2.52, 7 Cu 2.50-2.77
Cu: 0.0715 0.9152 0.3307  2 Zn 2.48-2.52, 7 Cu 2.50-2.77
Cu: 0.0000 0.0000 0.0000  4 Zn 2.67, 8 Cu 2.77
Cu: 0.5978 0.3307 0.0848  2 Zn 2.48-2.52, 7 Cu 2.50-2.77
Cu: 0.0134 0.9152 0.6693  2 Zn 2.48-2.52, 7 Cu 2.50-2.77
Cu: 0.0134 0.6693 0.9152  2 Zn 2.48-2.52, 7 Cu 2.50-2.77
Cu: 0.4327 0.4152 0.8307  2 Zn 2.48-2.52, 7 Cu 2.50-2.77
Cu: 0.3173 0.0848 0.6693  2 Zn 2.48-2.52, 7 Cu 2.50-2.77
Cu: 0.7366 0.5848 0.8307  2 Zn 2.48-2.52, 7 Cu 2.50-2.77
Cu: 0.6785 0.1693 0.5848  2 Zn 2.48-2.52, 7 Cu 2.50-2.77
Cu: 0.1522 0.1693 0.4152  2 Zn 2.48-2.52, 7 Cu 2.50-2.77
Cu: 0.5978 0.0848 0.3307  2 Zn 2.48-2.52, 7 Cu 2.50-2.77
Cu: 0.3173 0.6693 0.0848  2 Zn 2.48-2.52, 7 Cu 2.50-2.77
Cu: 0.7366 0.8307 0.5848  2 Zn 2.48-2.52, 7 Cu 2.50-2.77
Cu: 0.0715 0.3307 0.9152  2 Zn 2.48-2.52, 7 Cu 2.50-2.77
Cu: 0.6785 0.5848 0.1693  2 Zn 2.48-2.52, 7 Cu 2.50-2.77
Cu: 0.1522 0.4152 0.1693  2 Zn 2.48-2.52, 7 Cu 2.50-2.77
Ca: 0.2500 0.5000 0.5000  18 Cu 3.17-3.29, 4 Zn 3.54
Ca: 0.5000 0.0000 0.0000  18 Cu 3.17-3.29, 4 Zn 3.54
Zn: 0.8750 0.2500 0.2500  10 Cu 2.48-2.67
Zn: 0.8750 0.7500 0.2500  10 Cu 2.48-2.67
Zn: 0.8750 0.2500 0.7500  10 Cu 2.48-2.67
Zn: 0.3750 0.7500 0.7500  10 Cu 2.48-2.67

Summary:
Symmetry   I4_1/amd, No. 141
Fermi-level density of states   8.12 states/eV/cell
Density   7256 kg/m³



Least stable: run i



Run i
## CaZn2Cu2 (PBE-GGA)

Data for a geometry-optimized CaZn2Cu2 structure.

a b c (Å): 4.2429 4.2429 10.4859
angles (deg): 101.67 101.67 90.00
Closest atoms and distances in Å follow each position.
Fractional positions:
Zn: 0.8135 0.8135 0.6270  5 Cu 2.42-2.48
Zn: 0.0000 0.5000 0.0000  4 Cu 2.50
Zn: 0.5000 0.0000 0.0000  4 Cu 2.50
Zn: 0.1865 0.1865 0.3730  5 Cu 2.42-2.48
Cu: 0.2500 0.7500 0.5000  4 Zn 2.48
Cu: 0.0659 0.0659 0.1318  5 Zn 2.42-2.50, 1 Cu 2.65
Cu: 0.7500 0.2500 0.5000  4 Zn 2.48
Cu: 0.9341 0.9341 0.8682  5 Zn 2.42-2.50, 1 Cu 2.65
Ca: 0.6286 0.6286 0.2571  8 Zn 3.22-3.34, 8 Cu 3.23-3.25
Ca: 0.3714 0.3714 0.7429  8 Zn 3.22-3.34, 8 Cu 3.23-3.25

Summary:
Symmetry   I4/mmm, No. 139
Fermi-level density of states   5.11 states/eV/cell
Density   5471 kg/m³



Run ii
## CaZn2Cu2 (PBE-GGA)

Data for a geometry-optimized CaZn2Cu2 structure.

a b c (Å): 7.5698 7.5698 2.8314
angles (deg): 90.00 90.00 90.00
Closest atoms and distances in Å follow each position.
Fractional positions:
Ca: 0.0000 0.0000 0.0000  2 Ca 2.83, 4 Zn 3.00, 8 Cu 3.14
Ca: 0.5000 0.5000 0.0000  2 Ca 2.83, 4 Zn 3.00, 8 Cu 3.14
Cu: 0.1720 0.6720 0.5000  6 Zn 2.61-2.67, 2 Cu 2.83
Cu: 0.8280 0.3280 0.5000  6 Zn 2.61-2.67, 2 Cu 2.83
Cu: 0.6720 0.8280 0.5000  6 Zn 2.61-2.67, 2 Cu 2.83
Cu: 0.3280 0.1720 0.5000  6 Zn 2.61-2.67, 2 Cu 2.83
Zn: 0.3772 0.8772 0.0000  6 Cu 2.61-2.67, 3 Zn 2.63-2.83
Zn: 0.6228 0.1228 0.0000  6 Cu 2.61-2.67, 3 Zn 2.63-2.83
Zn: 0.8772 0.6228 0.0000  6 Cu 2.61-2.67, 3 Zn 2.63-2.83
Zn: 0.1228 0.3772 0.0000  6 Cu 2.61-2.67, 3 Zn 2.63-2.83

Summary:
Symmetry   P4/mbm, No. 127
Fermi-level density of states   4.22 states/eV/cell
Density   6100 kg/m³



Least stable: run ii



Run i
## CaZn2Cu2 (PBE-GGA)

Data for a geometry-optimized CaZn2Cu2 structure.

a b c (Å): 4.1241 4.1241 6.0316
angles (deg): 70.01 70.01 90.00
Closest atoms and distances in Å follow each position.
Fractional positions:
Cu: 0.3864 0.3864 0.2272  1 Cu 2.40, 4 Zn 2.52
Cu: 0.6136 0.6136 0.7728  1 Cu 2.40, 4 Zn 2.52
Zn: 0.2500 0.7500 0.5000  4 Cu 2.52
Zn: 0.7500 0.2500 0.5000  4 Cu 2.52
Ca: 0.0000 0.0000 0.0000  8 Cu 3.15, 8 Zn 3.35

Summary:
Symmetry   I4/mmm, No. 139
Fermi-level density of states   2.16 states/eV/cell
Density   5510 kg/m³



Run ii
## CaZn2Cu2 (PBE-GGA)

Data for a geometry-optimized CaZn2Cu2 structure.

a b c (Å): 7.4791 7.4791 2.9303
angles (deg): 90.00 90.00 90.00
Closest atoms and distances in Å follow each position.
Fractional positions:
Cu: 0.3725 0.8725 0.0000  6 Zn 2.63-2.66, 3 Cu 2.70-2.93
Cu: 0.8725 0.6275 0.0000  6 Zn 2.63-2.66, 3 Cu 2.70-2.93
Cu: 0.6275 0.1275 0.0000  6 Zn 2.63-2.66, 3 Cu 2.70-2.93
Cu: 0.1275 0.3725 0.0000  6 Zn 2.63-2.66, 3 Cu 2.70-2.93
Zn: 0.8379 0.3379 0.5000  6 Cu 2.63-2.66, 2 Zn 2.93
Zn: 0.6621 0.8379 0.5000  6 Cu 2.63-2.66, 2 Zn 2.93
Zn: 0.3379 0.1621 0.5000  6 Cu 2.63-2.66, 2 Zn 2.93
Zn: 0.1621 0.6621 0.5000  6 Cu 2.63-2.66, 2 Zn 2.93
Ca: 0.5000 0.5000 0.0000  2 Ca 2.93, 4 Cu 2.94, 8 Zn 3.16
Ca: 0.0000 0.0000 0.0000  2 Ca 2.93, 4 Cu 2.94, 8 Zn 3.16

Summary:
Symmetry   P4/mbm, No. 127
Fermi-level density of states   4.06 states/eV/cell
Density   6038 kg/m³



Least stable: run ii



Run i
## CaZn9Cu2 (PBE-GGA)

Data for a geometry-optimized CaZn9Cu2 structure.

a b c (Å): 3.0676 8.4821 8.4821
angles (deg): 120.00 90.00 90.00
Closest atoms and distances in Å follow each position.
Fractional positions:
Zn: 0.5000 0.1879 0.3758  2 Cu 2.63, 6 Zn 2.76-2.77
Zn: 0.5000 0.6242 0.8121  2 Cu 2.63, 6 Zn 2.76-2.77
Zn: 0.5000 0.1879 0.8121  2 Cu 2.63, 6 Zn 2.76-2.77
Zn: 0.5000 0.3758 0.1879  2 Cu 2.63, 6 Zn 2.76-2.77
Zn: 0.5000 0.8121 0.6242  2 Cu 2.63, 6 Zn 2.76-2.77
Zn: 0.5000 0.8121 0.1879  2 Cu 2.63, 6 Zn 2.76-2.77
Zn: 0.0000 0.0000 0.5000  2 Cu 2.45
Zn: 0.0000 0.5000 0.0000  2 Cu 2.45
Zn: 0.0000 0.5000 0.5000  2 Cu 2.45
Cu: 0.0000 0.3333 0.6667  9 Zn 2.45-2.63
Cu: 0.0000 0.6667 0.3333  9 Zn 2.45-2.63
Ca: 0.0000 0.0000 0.0000  2 Ca 3.07, 12 Zn 3.16

Summary:
Symmetry   P6/mmm, No. 191
Fermi-level density of states   1.59 states/eV/cell
Density   6567 kg/m³



Run ii
## CaZn9Cu2 (PBE-GGA)

Data for a geometry-optimized CaZn9Cu2 structure.

a b c (Å): 6.7842 8.1991 8.1991
angles (deg): 80.14 65.56 65.56
Closest atoms and distances in Å follow each position.
Fractional positions:
Cu: 0.8750 0.2500 0.7500  10 Zn 2.55-2.77
Cu: 0.8750 0.2500 0.2500  10 Zn 2.55-2.77
Cu: 0.8750 0.7500 0.2500  10 Zn 2.55-2.77
Cu: 0.3750 0.7500 0.7500  10 Zn 2.55-2.77
Zn: 0.4369 0.8266 0.4166  2 Cu 2.55-2.59, 6 Zn 2.57-2.83
Zn: 0.0700 0.9166 0.3266  2 Cu 2.55-2.59, 6 Zn 2.57-2.83
Zn: 0.7500 0.5000 0.5000  4 Cu 2.77, 8 Zn 2.83
Zn: 0.6034 0.0834 0.3266  2 Cu 2.55-2.59, 6 Zn 2.57-2.83
Zn: 0.3131 0.0834 0.6734  2 Cu 2.55-2.59, 6 Zn 2.57-2.83
Zn: 0.6034 0.3266 0.0834  2 Cu 2.55-2.59, 6 Zn 2.57-2.83
Zn: 0.0700 0.3266 0.9166  2 Cu 2.55-2.59, 6 Zn 2.57-2.83
Zn: 0.7366 0.5834 0.8266  2 Cu 2.55-2.59, 6 Zn 2.57-2.83
Zn: 0.3131 0.6734 0.0834  2 Cu 2.55-2.59, 6 Zn 2.57-2.83
Zn: 0.0000 0.0000 0.0000  4 Cu 2.77, 8 Zn 2.83
Zn: 0.6800 0.1734 0.5834  2 Cu 2.55-2.59, 6 Zn 2.57-2.83
Zn: 0.0134 0.6734 0.9166  2 Cu 2.55-2.59, 6 Zn 2.57-2.83
Zn: 0.0134 0.9166 0.6734  2 Cu 2.55-2.59, 6 Zn 2.57-2.83
Zn: 0.7366 0.8266 0.5834  2 Cu 2.55-2.59, 6 Zn 2.57-2.83
Zn: 0.4369 0.4166 0.8266  2 Cu 2.55-2.59, 6 Zn 2.57-2.83
Zn: 0.1466 0.4166 0.1734  2 Cu 2.55-2.59, 6 Zn 2.57-2.83
Zn: 0.1466 0.1734 0.4166  2 Cu 2.55-2.59, 6 Zn 2.57-2.83
Zn: 0.6800 0.5834 0.1734  2 Cu 2.55-2.59, 6 Zn 2.57-2.83
Ca: 0.5000 0.0000 0.0000  18 Zn 3.27-3.39
Ca: 0.2500 0.5000 0.5000  18 Zn 3.27-3.39

Summary:
Symmetry   I4_1/amd, No. 141
Fermi-level density of states   9.64 states/eV/cell
Density   6641 kg/m³



Least stable: run i